1.
# Ru2PbSe

A geometry-optimized Ru2PbSe structure (PBEsol, Alexandria).

Lattice parameters (Å, degrees): 2.9694 2.9694 8.3594 90.00 90.00 90.00
Atoms (fractional coordinates):
Se 0.0000 0.0000 0.4158
Pb 0.5000 0.5000 0.7969
Ru 0.0000 0.0000 0.0429
Ru 0.5000 0.5000 0.2443

The calculation puts the density of states at the Fermi level at 0.823 states/eV per atom. For the density, the calculation gives 11.0 g/cm3. Its offset from the most stable computed form is 0 meV per atom. The value obtained for the volume is 18.43 Å³/atom. Its space group is P4mm. The uncorrected formation energy comes out at 0.24 eV/atom.

---

2.
# AlHg2Pt

A geometry-optimized AlHg2Pt structure (PBEsol, Alexandria).

Lattice parameters (Å, degrees): 3.1263 3.1263 8.9276 79.92 79.92 60.00
Atoms (fractional coordinates):
Al 0.2408 0.2408 0.2775
Hg 0.7563 0.7563 0.7311
Hg 0.9931 0.9931 0.0207
Pt 0.5098 0.5098 0.4707

The calculation puts the density of states at the Fermi level at 0.297 states/eV per atom. For the density, the calculation gives 14.0 g/cm3. The formation energy comes out at -0.19 eV per atom. The value obtained for the volume is 18.50 Å³/atom. Its space group is R3m.

---

3.
# BeAlSb2

A geometry-optimized BeAlSb2 structure (PBEsol, Alexandria).

Lattice parameters (Å, degrees): 5.9246 5.9246 7.1160 114.60 114.60 90.00
Atoms (fractional coordinates):
Al 0.2500 0.7500 0.5000
Al 0.0000 0.0000 0.0000
Sb 0.4104 0.8750 0.2500
Sb 0.1250 0.1604 0.7500
Sb 0.6250 0.5896 0.7500
Sb 0.8396 0.3750 0.2500
Be 0.5000 0.5000 0.0000
Be 0.7500 0.2500 0.5000

The calculation puts the density of states at the Fermi level at 0.566 states/eV per atom. For the density, the calculation gives 4.6 g/cm3. Its offset from the most stable computed form is 0 meV per atom. The value obtained for the volume is 25.24 Å³/atom. Its space group is I-42d. The uncorrected formation energy comes out at 0.12 eV/atom.

---

4.
# ReSi2Ni

A geometry-optimized ReSi2Ni structure (PBEsol, Alexandria).

Lattice parameters (Å, degrees): 3.0941 3.8259 4.8079 113.45 108.77 90.00
Atoms (fractional coordinates):
Ni 0.4803 0.4803 0.9605
Si 0.0014 0.0014 0.0027
Si 0.7732 0.2732 0.5465
Re 0.2451 0.7451 0.4903

The calculation puts the density of states at the Fermi level at 0.403 states/eV per atom. For the density, the calculation gives 10.2 g/cm3. The value obtained for the volume is 12.22 Å³/atom. Its space group is Imm2. The uncorrected formation energy comes out at -0.29 eV/atom.

---

5.
# Sr3TcH

A geometry-optimized Sr3TcH structure (PBEsol, Alexandria).

Lattice parameters (Å, degrees): 5.6100 5.6100 5.6100 90.00 90.00 90.00
Atoms (fractional coordinates):
Sr 0.5000 0.0000 0.0000
Sr 0.0000 0.0000 0.5000
Sr 0.0000 0.5000 0.0000
H 0.5000 0.5000 0.5000
Tc 0.0000 0.0000 0.0000

For the uncorrected energy, the calculation gives -3.172 eV per atom. The calculation puts the density of states at the Fermi level at 0.504 states/eV per atom. For the density, the calculation gives 3.4 g/cm3. The value obtained for the volume is 35.31 Å³/atom. Its space group is Pm-3m.

---

6.
# YReNi2

A geometry-optimized YReNi2 structure (PBEsol, Alexandria).

Lattice parameters (Å, degrees): 3.7474 3.7474 5.0089 111.97 111.97 90.00
Each line ends with the local moment (μB).
Atoms (fractional coordinates):
Ni 0.0000 0.0000 0.0000  0.38
Ni 0.7500 0.2500 0.5000  0.42
Y 0.2500 0.7500 0.5000  0.00
Re 0.5000 0.5000 0.0000  0.59

The calculation puts the density of states at the Fermi level at 1.299 states/eV per atom. For the density, the calculation gives 10.9 g/cm3. The formation energy comes out at 0.32 eV per atom. Its offset from the most stable computed form is 195 meV per atom. The value obtained for the volume is 14.92 Å³/atom. Its space group is I-4m2.